This record from the Alexandria database describes a relaxed structure of Cr2HgIr. The functional is PBE.

a = 9.122 Å, b = 9.122 Å, c = 9.122 Å
α = 17.40°, β = 17.40°, γ = 17.40°
Atoms (fractional coordinates):
Cr1 0.244 0.244 0.244
Cr2 0.756 0.756 0.756
Hg1 0.000 0.000 0.000
Ir1 0.500 0.500 0.500

Values from the calculation:
ρ: 13.92 g/cm³
calculated formation energy: 442 meV/atom
total moment: 0.04 Bohr magnetons per cell